Crystalline SmZnGaPd3 at its relaxed geometry. Source: Alexandria via LeMat-Bulk, functional PBE.

Cell and atoms, written as CIF:
```
data_SmZnGaPd3
_cell_length_a 6.616
_cell_length_b 12.117
_cell_length_c 5.733
_cell_angle_alpha 90.00
_cell_angle_beta 90.00
_cell_angle_gamma 90.00
_space_group_name_H-M_alt 'C m c m'
_space_group_IT_number 63
_space_group_name_Hall '-C 2c 2'
loop_
_atom_site_label
_atom_site_type_symbol
_atom_site_fract_x
_atom_site_fract_y
_atom_site_fract_z
Sm1 Sm 0.000 0.202 0.250
Zn1 Zn 0.000 0.444 0.250
Ga1 Ga 0.000 0.134 0.750
Pd1 Pd 0.000 0.337 0.750
Pd2 Pd 0.208 0.000 0.000
```

## Properties
Fermi-level density of states = 3.62 states/eV/f.u.
DFT formation energy = -542 meV/atom
Uncorrected energy = -4.64 eV/atom